# 1
Here is a geometry-optimized LaGaIO2 structure from Alexandria via LeMat-Bulk. Energies are from PBE.

Computed properties:
SG ... P4/mmm
Crystal system ... tetragonal
Total magnetization ... 1.02 μB/f.u.
E above lowest polymorph ... 0.0 meV/atom
E_tot ... -5.26 eV/atom
Formation energy from raw total energies ... -1.380 eV per atom

Structure (POSCAR):
```
LaGaIO2
1.0
4.522 0.000 0.000
0.000 4.522 0.000
0.000 0.000 6.921
La Ga I O
1 1 1 2
Direct
0.000 0.000 0.000 La
0.500 0.500 0.500 Ga
0.000 0.000 0.500 I
0.000 0.500 0.000 O
0.500 0.000 0.000 O
```


# 2
Here is a geometry-optimized GdPuMn2 structure from Alexandria via LeMat-Bulk. Energies are from PBE.

Computed properties:
SG ... P4/mmm
Energy of formation ... 0.056 eV/atom
Crystal system ... tetragonal
Total magnetization ... 7.09 μB/f.u.
E above lowest polymorph ... 1.2 meV/atom
E_tot ... -11.63 eV/atom

Structure (POSCAR):
```
GdPuMn2
1.0
3.408 0.000 0.000
0.000 3.408 0.000
0.000 0.000 6.845
Gd Pu Mn
1 1 2
Direct
0.000 0.000 0.000 Gd
0.000 0.000 0.500 Pu
0.500 0.500 0.295 Mn
0.500 0.500 0.705 Mn
```


# 3
Here is a geometry-optimized Ho3Ga8Au3 structure from Alexandria via LeMat-Bulk. Energies are from PBE.

Computed properties:
SG ... C2/m
Energy of formation ... -0.550 eV/atom
Crystal system ... monoclinic
Total magnetization ... 0.00 μB/f.u.
E above lowest polymorph ... 0.0 meV/atom
E_tot ... -3.96 eV/atom

Structure (POSCAR):
```
Ho3Ga8Au3
1.0
7.928 -2.171 0.000
7.928 2.171 0.000
-6.137 0.000 7.875
Ho Ga Au
3 8 3
Direct
0.000 0.000 0.000 Ho
0.307 0.307 0.318 Ho
0.693 0.693 0.682 Ho
0.142 0.142 0.424 Ga
0.149 0.149 0.875 Ga
0.341 0.341 0.959 Ga
0.490 0.490 0.300 Ga
0.510 0.510 0.700 Ga
0.659 0.659 0.041 Ga
0.851 0.851 0.125 Ga
0.858 0.858 0.576 Ga
0.000 0.000 0.500 Au
0.348 0.348 0.710 Au
0.652 0.652 0.290 Au
```


# 4
Here is a geometry-optimized NdAlGa2Ag structure from Alexandria via LeMat-Bulk. Energies are from PBE.

Computed properties:
SG ... I-4m2
Energy of formation ... -0.488 eV/atom
Crystal system ... tetragonal
Total magnetization ... 0.00 μB/f.u.
E_tot ... -3.97 eV/atom

Structure (POSCAR):
```
NdAlGa2Ag
1.0
-2.122 2.122 5.584
2.122 -2.122 5.584
2.122 2.122 -5.584
Nd Al Ga Ag
1 1 2 1
Direct
0.000 0.000 0.000 Nd
0.750 0.250 0.500 Al
0.390 0.390 0.000 Ga
0.610 0.610 0.000 Ga
0.250 0.750 0.500 Ag
```